Record 1
7
Lattice="-3.342 1.862 1.666 0.614 -2.085 3.562 3.823 4.890 2.203" Properties=species:S:1:pos:R:3 comment="UGa5Co SCAN single point on PBEsol structure" mass_density_g_cm3=9.35 spacegroup="No. 123" pbc="T T T"
Ga -1.364 -0.111 2.614
U 0.000 0.000 0.000
Co 1.911 2.445 1.101
Ga 0.982 4.324 2.361
Ga 1.477 0.455 2.455
Ga -0.501 2.428 1.507
Ga 2.959 2.350 3.309

---

Record 2
11
Lattice="-1.897 2.313 2.899 -0.969 -3.452 2.120 9.422 0.766 5.553" Properties=species:S:1:pos:R:3 comment="Y2Ga8Co SCAN single point on PBEsol structure" mass_density_g_cm3=6.94 spacegroup="No. 123" pbc="T T T"
Ga 0.146 1.245 2.095
Ga 0.610 -1.637 1.705
Y 6.541 0.532 3.855
Y 2.881 0.234 1.698
Ga 7.843 -1.049 5.967
Ga 4.226 -1.343 3.836
Ga 1.441 -0.336 4.203
Ga 5.116 -0.037 6.369
Ga 3.763 1.539 4.226
Co 0.000 0.000 0.000
Ga 7.379 1.833 6.357

---

Number 1: DFT formation energy -0.286 eV/atom. Number 2: DFT formation energy -0.543 eV/atom.